## HoGe (GGA-PBE)

Data for a geometry-optimized HoGe structure.

CIF file:
```
data_HoGe
_cell_length_a 4.386
_cell_length_b 4.386
_cell_length_c 5.966
_cell_angle_alpha 90.00
_cell_angle_beta 90.00
_cell_angle_gamma 120.00
_space_group_name_H-M_alt 'P 1'
_space_group_IT_number 1
loop_
_space_group_symop_operation_xyz
'x,y,z'
loop_
_atom_site_label
_atom_site_fract_x
_atom_site_fract_y
_atom_site_fract_z
_atom_site_occupancy
Ho1 0.333 0.667 0.250 1
Ho2 0.667 0.333 0.750 1
Ge1 0.000 0.000 0.000 1
Ge2 0.000 0.000 0.500 1
```

Results
Uncorrected energy: -10.8 eV/f.u.

***

## Ho3Ge5 (GGA-PBE)

Data for a geometry-optimized Ho3Ge5 structure.

CIF file:
```
data_Ho3Ge5
_cell_length_a 11.021
_cell_length_b 7.438
_cell_length_c 9.091
_cell_angle_alpha 82.99
_cell_angle_beta 42.05
_cell_angle_gamma 54.95
_space_group_name_H-M_alt 'P 1'
_space_group_IT_number 1
loop_
_space_group_symop_operation_xyz
'x,y,z'
loop_
_atom_site_label
_atom_site_fract_x
_atom_site_fract_y
_atom_site_fract_z
_atom_site_occupancy
Ho1 0.000 0.000 0.000 1
Ho2 0.250 0.250 0.250 1
Ho3 0.311 0.674 0.352 1
Ho4 0.587 0.898 0.576 1
Ho5 0.674 0.311 0.663 1
Ho6 0.898 0.587 0.939 1
Ge1 0.072 0.753 0.255 1
Ge2 0.220 0.471 0.911 1
Ge3 0.330 0.995 0.497 1
Ge4 0.339 0.852 0.030 1
Ge5 0.471 0.220 0.398 1
Ge6 0.547 0.547 0.453 1
Ge7 0.753 0.072 0.920 1
Ge8 0.797 0.797 0.703 1
Ge9 0.852 0.339 0.779 1
Ge10 0.995 0.330 0.178 1
```

Results
Uncorrected energy: -42.4 eV/f.u.

***

## HoGe (GGA-PBE)

Data for a geometry-optimized HoGe structure.

CIF file:
```
data_HoGe
_cell_length_a 3.635
_cell_length_b 3.635
_cell_length_c 4.239
_cell_angle_alpha 90.00
_cell_angle_beta 90.00
_cell_angle_gamma 120.00
_space_group_name_H-M_alt 'P 1'
_space_group_IT_number 1
loop_
_space_group_symop_operation_xyz
'x,y,z'
loop_
_atom_site_label
_atom_site_fract_x
_atom_site_fract_y
_atom_site_fract_z
_atom_site_occupancy
Ho1 0.000 0.000 0.000 1
Ge1 0.333 0.667 0.500 1
```

Results
Uncorrected energy: -10.1 eV/f.u.